DFT (GGA-PBE) results for a geometry-optimized NaGe2Au3 structure. Values from VASP.

## Properties
The calculated formation energy is -122.9 meV/atom. The total magnetization is 0.0000 μB/atom. As for the space group: Immm, No. 71.

```
&SYSTEM
  ibrav = 0, nat = 12, ntyp = 3
/
ATOMIC_SPECIES
Na 22.99 Na.upf
Ge 72.64 Ge.upf
Au 196.97 Au.upf
CELL_PARAMETERS angstrom
4.402 0.000 1.212
1.174 6.859 4.336
0.113 0.360 8.190
ATOMIC_POSITIONS crystal
Na 0.865 0.135 0.135
Na 0.135 0.865 0.865
Ge 0.500 0.168 0.832
Ge 0.500 0.832 0.168
Ge 0.823 0.677 0.677
Ge 0.177 0.323 0.323
Au 0.318 0.470 0.894
Au 0.000 0.317 0.683
Au 0.682 0.106 0.530
Au 0.318 0.894 0.470
Au 0.000 0.683 0.317
Au 0.682 0.530 0.106
```